# NaNdZn17

A geometry-optimized NaNdZn17 structure (PBE-GGA, Alexandria via LeMat-Bulk).

Cell: 6.847 6.847 6.847 Å, 82.82 82.82 82.82°
Fractional coordinates of all 19 atoms:
Na1 0.000 0.000 0.000
Nd1 0.679 0.679 0.679
Zn1 0.046 0.339 0.640
Zn2 0.046 0.640 0.339
Zn3 0.180 0.693 0.693
Zn4 0.240 0.240 0.240
Zn5 0.339 0.046 0.640
Zn6 0.339 0.640 0.046
Zn7 0.346 0.346 0.839
Zn8 0.346 0.839 0.346
Zn9 0.440 0.440 0.440
Zn10 0.501 0.991 0.991
Zn11 0.640 0.046 0.339
Zn12 0.640 0.339 0.046
Zn13 0.693 0.180 0.693
Zn14 0.693 0.693 0.180
Zn15 0.839 0.346 0.346
Zn16 0.991 0.501 0.991
Zn17 0.991 0.991 0.501

Values from the calculation:
**DOS at the Fermi energy**: 6.10 states/eV/cell
**Total DFT energy (no corrections)**: -1.602 eV per atom
**V**: 16.53 Å³/atom
**SG**: R3m, No. 160